1.
The following is a DFT calculation (PBE) of crystalline Tl2Sb2AsO6 at its relaxed geometry.

Properties
* formation energy without anion corrections: -939 meV/atom

```
data_Tl2Sb2AsO6
_cell_length_a 9.119
_cell_length_b 5.842
_cell_length_c 7.664
_cell_angle_alpha 90.00
_cell_angle_beta 107.41
_cell_angle_gamma 90.00
_space_group_name_H-M_alt 'C 1 2/m 1'
_space_group_IT_number 12
loop_
_space_group_symop_operation_xyz
'x,y,z'
'-x,-y,-z'
'-x,y,-z'
'x,-y,z'
'x+1/2,y+1/2,z'
'-x+1/2,-y+1/2,-z'
'-x+1/2,y+1/2,-z'
'x+1/2,-y+1/2,z'
loop_
_atom_site_label
_atom_site_type_symbol
_atom_site_fract_x
_atom_site_fract_y
_atom_site_fract_z
Tl1 Tl 0.212 0.000 0.149
Sb1 Sb 0.104 0.500 0.278
As1 As 0.000 0.000 0.500
O1 O 0.036 0.246 0.690
O2 O 0.219 0.000 0.497
```

=====

2.
The following is a DFT calculation (PBE) of crystalline BaCuIr at its relaxed geometry.

```
data_BaCuIr
_cell_length_a 4.488
_cell_length_b 6.229
_cell_length_c 6.322
_cell_angle_alpha 68.22
_cell_angle_beta 69.28
_cell_angle_gamma 89.92
_space_group_name_H-M_alt 'P -1'
_space_group_IT_number 2
loop_
_space_group_symop_operation_xyz
'x,y,z'
'-x,-y,-z'
loop_
_atom_site_label
_atom_site_type_symbol
_atom_site_fract_x
_atom_site_fract_y
_atom_site_fract_z
Ba1 Ba 0.105 0.308 0.290
Cu1 Cu 0.401 0.305 0.698
Ir1 Ir 0.218 0.916 0.064
```

=====

Number 1: magnetization 0.00 Bohr magnetons per cell, energy -5.246 eV per atom. Number 2: magnetization 0.00 Bohr magnetons per cell, energy -5.029 eV per atom.